First-principles (PBE-GGA) data for Ac3SmY2S6 after structural relaxation, as listed in the Alexandria database.

a b c (Å): 7.044 7.044 7.333
angles (deg): 99.24 99.24 120.12
Atoms (fractional coordinates):
Ac: 0.000 0.000 0.000
Ac: 0.335 0.665 0.000
Ac: 0.665 0.335 0.000
Sm: 0.500 0.500 0.500
Y: 0.167 0.833 0.500
Y: 0.833 0.167 0.500
S: 0.087 0.426 0.277
S: 0.235 0.235 0.721
S: 0.426 0.087 0.277
S: 0.574 0.913 0.723
S: 0.765 0.765 0.279
S: 0.913 0.574 0.723

ΔE_f (raw) (eV per formula unit): -23.97
Density (g/cm3): 6.696